Record 1
VASP calculation (PBE) on NaThPt after structural relaxation.

a b c (Å): 4.6602 4.6602 4.6602
angles (deg): 60.00 60.00 60.00
Element x y z (fractional)
Th1 0.7500 0.7500 0.7500
Na1 0.0000 0.0000 0.0000
Pt1 0.2500 0.2500 0.2500

Summary:
The space group is F-43m. As for the energy above the lowest structure with this stoichiometry: 51 kJ/mol of formula units. For the total magnetic moment, the calculation gives 0.4 μB per cell.


Record 2
VASP calculation (PBE) on Sc4NiSnC2 after structural relaxation.

a b c (Å): 3.3591 3.3591 13.7400
angles (deg): 90.00 90.00 120.00
Element x y z (fractional)
Sc1 0.6667 0.3333 0.1377
Sc2 0.6667 0.3333 0.8623
Sc3 0.0000 0.0000 0.6842
Sc4 0.0000 0.0000 0.3158
Sn1 0.6667 0.3333 0.5000
Ni1 0.0000 0.0000 0.0000
C1 0.3333 0.6667 0.7704
C2 0.3333 0.6667 0.2296

Summary:
The space group is P-6m2. As for the total energy: -57.39 eV per cell. For the total magnetic moment, the calculation gives 0.0 μB per cell.


Record 3
VASP calculation (PBE) on LiSnAu after structural relaxation.

a b c (Å): 6.0377 4.6558 8.4218
angles (deg): 90.00 90.00 90.00
Element x y z (fractional)
Sn1 0.7659 0.2500 0.4319
Sn2 0.2659 0.2500 0.0681
Sn3 0.7341 0.7500 0.9319
Sn4 0.2341 0.7500 0.5681
Au1 0.2389 0.7500 0.8944
Au2 0.7611 0.2500 0.1056
Au3 0.2611 0.2500 0.3944
Au4 0.7389 0.7500 0.6056
Li1 0.4861 0.2500 0.7354
Li2 0.9861 0.2500 0.7646
Li3 0.5139 0.7500 0.2646
Li4 0.0139 0.7500 0.2354

Summary:
The space group is Pnma. As for the energy above the lowest structure with this stoichiometry: 1 kJ/mol of formula units.


Record 4
VASP calculation (PBE) on AgSb after structural relaxation.

a b c (Å): 3.2579 3.2579 4.9850
angles (deg): 90.00 90.00 120.00
Element x y z (fractional)
Ag1 0.6667 0.3333 0.7500
Sb1 0.3333 0.6667 0.2500

Summary:
The space group is P-6m2. As for the energy above the lowest structure with this stoichiometry: 20 kJ/mol of formula units.


Record 5
VASP calculation (PBE) on Y2SiGeOs after structural relaxation.

a b c (Å): 5.7680 5.7680 10.1552
angles (deg): 116.43 116.43 43.01
Element x y z (fractional)
Ge1 0.4885 0.4885 0.6260
Ge2 0.5115 0.5115 0.3740
Si1 0.3544 0.3544 0.9393
Si2 0.6456 0.6456 0.0607
Y1 0.8145 0.8145 0.3850
Y2 0.1855 0.1855 0.6150
Y3 0.0070 0.0070 0.1737
Y4 0.9930 0.9930 0.8263
Os1 0.7325 0.7325 0.8760
Os2 0.2675 0.2675 0.1240

Summary:
The space group is C2/m. As for the total energy: -76.50 eV per cell. For the total magnetic moment, the calculation gives 0.0 μB per cell.


Record 6
VASP calculation (PBE) on Er5Te3Pt after structural relaxation.

a b c (Å): 8.3062 8.3062 4.0782
angles (deg): 90.00 90.00 120.00
Element x y z (fractional)
Er1 0.0000 0.6683 0.0000
Er2 0.6683 0.0000 0.0000
Er3 0.3333 0.6667 0.5000
Er4 0.6667 0.3333 0.5000
Er5 0.3317 0.3317 0.0000
Te1 0.7201 0.7201 0.5000
Te2 0.2799 0.0000 0.5000
Te3 0.0000 0.2799 0.5000
Pt1 0.0000 0.0000 0.0000

Summary:
The space group is P-62m. As for the energy above the lowest structure with this stoichiometry: 151 kJ/mol of formula units. For the total magnetic moment, the calculation gives 0.0 μB per cell.


Record 7
VASP calculation (PBE) on Pr2TeCSe after structural relaxation.

a b c (Å): 3.9728 3.9728 10.1402
angles (deg): 90.00 90.00 120.00
Element x y z (fractional)
C1 0.0000 0.0000 0.0044
Se1 0.6667 0.3333 0.6661
Pr1 0.6667 0.3333 0.1321
Pr2 0.3333 0.6667 0.8351
Te1 0.3333 0.6667 0.3623

Summary:
The space group is P3m1. As for the total energy: -27.63 eV per cell. For the total magnetic moment, the calculation gives 0.0 μB per cell.


Record 8
VASP calculation (PBE) on LiGdZnSe3 after structural relaxation.

a b c (Å): 6.8124 6.8124 10.9751
angles (deg): 90.00 90.00 34.08
Element x y z (fractional)
Li1 0.2252 0.2252 0.7500
Li2 0.7748 0.7748 0.2500
Gd1 0.0000 0.0000 0.0000
Gd2 0.0000 0.0000 0.5000
Se1 0.6442 0.6442 0.9222
Se2 0.6442 0.6442 0.5778
Se3 0.9075 0.9075 0.7500
Se4 0.3558 0.3558 0.0778
Se5 0.3558 0.3558 0.4222
Se6 0.0925 0.0925 0.2500
Zn1 0.4751 0.4751 0.2500
Zn2 0.5249 0.5249 0.7500

Summary:
The space group is Cmcm. As for the energy above the lowest structure with this stoichiometry: 2 kJ/mol of formula units. For the total magnetic moment, the calculation gives 0.0 μB per cell.


Record 9
VASP calculation (PBE) on Ag2PdI4 after structural relaxation.

a b c (Å): 7.7601 7.7601 7.7601
angles (deg): 132.88 132.88 68.85
Element x y z (fractional)
Ag1 0.5000 0.5000 0.0000
Ag2 0.2500 0.7500 0.5000
I1 0.3865 0.9078 0.0352
I2 0.6487 0.6135 0.5213
I3 0.8726 0.3513 0.9648
I4 0.0922 0.1274 0.4787
Pd1 0.0000 0.0000 0.0000

Summary:
The space group is I-4. As for the total energy: -17.77 eV per cell.


Record 10
VASP calculation (PBE) on Cu5Ag4 after structural relaxation.

a b c (Å): 4.7660 4.7660 11.2755
angles (deg): 112.64 112.64 33.88
Element x y z (fractional)
Ag1 0.6732 0.6732 0.6712
Ag2 0.4725 0.4725 0.8050
Ag3 0.8788 0.8788 0.5467
Ag4 0.3108 0.3108 0.3106
Cu1 0.7716 0.7716 0.0967
Cu2 0.2521 0.2521 0.9081
Cu3 0.5331 0.5331 0.2130
Cu4 0.0130 0.0130 0.0216
Cu5 0.0948 0.0948 0.4270

Summary:
The space group is Cm. The formation energy comes out at 81 meV/atom. As for the energy above the lowest structure with this stoichiometry: 35 kJ/mol of formula units.